Density functional theory data (PBE-GGA) for crystalline DyTm2Ga at its relaxed geometry.

Results
crystal system = orthorhombic
energy above the most stable polymorph in this dataset = 0.113 eV per atom
total DFT energy (no corrections) = -4.287 eV per atom

Cell and atoms, written as CIF:
```
data_DyTm2Ga
_space_group_name_H-M_alt 'P 1'
_space_group_IT_number 1
_cell_length_a 5.196
_cell_length_b 6.819
_cell_length_c 6.819
_cell_angle_alpha 60.96
_cell_angle_beta 90.00
_cell_angle_gamma 90.00
loop_
_space_group_symop_operation_xyz
'x,y,z'
loop_
_atom_site_label
_atom_site_type_symbol
_atom_site_fract_x
_atom_site_fract_y
_atom_site_fract_z
Tm1 Tm 0.500 0.842 0.842
Tm2 Tm 0.000 0.675 0.173
Dy1 Dy 0.500 0.341 0.341
Tm3 Tm 0.000 0.161 0.161
Tm4 Tm 0.000 0.173 0.675
Ga1 Ga 0.500 0.320 0.830
Ga2 Ga 0.500 0.830 0.320
Dy2 Dy 0.000 0.658 0.658
```

Density functional theory data (PBE-GGA) for crystalline AlHgAsO at its relaxed geometry.

Results
crystal system = orthorhombic
energy above the most stable polymorph in this dataset = 0.060 eV per atom
total DFT energy (no corrections) = -4.315 eV per atom

Cell and atoms, written as CIF:
```
data_AlHgAsO
_space_group_name_H-M_alt 'P 1'
_space_group_IT_number 1
_cell_length_a 2.886
_cell_length_b 7.921
_cell_length_c 7.168
_cell_angle_alpha 90.00
_cell_angle_beta 90.00
_cell_angle_gamma 90.00
loop_
_space_group_symop_operation_xyz
'x,y,z'
loop_
_atom_site_label
_atom_site_type_symbol
_atom_site_fract_x
_atom_site_fract_y
_atom_site_fract_z
Hg1 Hg 0.500 0.125 0.541
As1 As 0.000 0.394 0.317
O1 O 0.500 0.787 0.420
O2 O 0.500 0.213 0.920
As2 As 0.000 0.606 0.817
Al1 Al 0.000 0.322 0.976
Hg2 Hg 0.500 0.875 0.041
Al2 Al 0.000 0.678 0.476
```

Density functional theory data (PBE-GGA) for crystalline RbCdPb at its relaxed geometry.

Results
crystal system = cubic
energy above the most stable polymorph in this dataset = 0.407 eV per atom
total DFT energy (no corrections) = -1.337 eV per atom

Cell and atoms, written as CIF:
```
data_RbCdPb
_space_group_name_H-M_alt 'P 1'
_space_group_IT_number 1
_cell_length_a 5.725
_cell_length_b 5.725
_cell_length_c 5.725
_cell_angle_alpha 60.00
_cell_angle_beta 60.00
_cell_angle_gamma 60.00
loop_
_space_group_symop_operation_xyz
'x,y,z'
loop_
_atom_site_label
_atom_site_type_symbol
_atom_site_fract_x
_atom_site_fract_y
_atom_site_fract_z
Rb1 Rb 0.000 0.000 0.000
Cd1 Cd 0.250 0.250 0.250
Pb1 Pb 0.750 0.750 0.750
```

Density functional theory data (PBE-GGA) for crystalline SmAu at its relaxed geometry.

Results
crystal system = hexagonal
energy relative to the elements = -0.575 eV/atom
total DFT energy (no corrections) = -4.564 eV per atom

Cell and atoms, written as CIF:
```
data_SmAu
_space_group_name_H-M_alt 'P 1'
_space_group_IT_number 1
_cell_length_a 3.607
_cell_length_b 3.607
_cell_length_c 4.394
_cell_angle_alpha 90.00
_cell_angle_beta 90.00
_cell_angle_gamma 120.00
loop_
_space_group_symop_operation_xyz
'x,y,z'
loop_
_atom_site_label
_atom_site_type_symbol
_atom_site_fract_x
_atom_site_fract_y
_atom_site_fract_z
Sm1 Sm 0.333 0.667 0.250
Au1 Au 0.667 0.333 0.750
```

Density functional theory data (PBE-GGA) for crystalline AlZn2Hg at its relaxed geometry.

Results
crystal system = cubic
total DFT energy (no corrections) = -1.443 eV per atom

Cell and atoms, written as CIF:
```
data_AlZn2Hg
_space_group_name_H-M_alt 'P 1'
_space_group_IT_number 1
_cell_length_a 4.705
_cell_length_b 4.705
_cell_length_c 4.705
_cell_angle_alpha 60.00
_cell_angle_beta 60.00
_cell_angle_gamma 60.00
loop_
_space_group_symop_operation_xyz
'x,y,z'
loop_
_atom_site_label
_atom_site_type_symbol
_atom_site_fract_x
_atom_site_fract_y
_atom_site_fract_z
Hg1 Hg 0.250 0.250 0.250
Zn1 Zn 0.750 0.750 0.750
Zn2 Zn 0.000 0.000 0.000
Al1 Al 0.500 0.500 0.500
```

Density functional theory data (PBE-GGA) for crystalline TcSn2 at its relaxed geometry.

Results
crystal system = cubic
energy above the most stable polymorph in this dataset = 1.232 eV per atom
total DFT energy (no corrections) = -4.903 eV per atom

Cell and atoms, written as CIF:
```
data_TcSn2
_space_group_name_H-M_alt 'P 1'
_space_group_IT_number 1
_cell_length_a 5.877
_cell_length_b 5.877
_cell_length_c 5.877
_cell_angle_alpha 60.00
_cell_angle_beta 60.00
_cell_angle_gamma 60.00
loop_
_space_group_symop_operation_xyz
'x,y,z'
loop_
_atom_site_label
_atom_site_type_symbol
_atom_site_fract_x
_atom_site_fract_y
_atom_site_fract_z
Tc1 Tc 0.250 0.250 0.250
Sn1 Sn 0.625 0.125 0.625
Sn2 Sn 0.125 0.625 0.625
Tc2 Tc 0.000 0.000 0.000
Sn3 Sn 0.625 0.625 0.625
Sn4 Sn 0.625 0.625 0.125
```